(1)
Nd8Ho5Th: relaxed, GGA-PBE.

Lattice parameters (Å, degrees): 9.158 8.718 8.428 83.23 120.45 121.88
Atoms (fractional coordinates):
Nd 0.847 0.533 0.550
Nd 0.410 0.951 0.832
Nd 0.544 0.676 0.180
Th 0.262 0.553 0.661
Nd 0.123 0.665 0.087
Ho 0.985 0.270 0.905
Nd 0.626 0.415 0.950
Ho 0.325 0.141 0.108
Ho 0.549 0.997 0.485
Nd 0.373 0.366 0.456
Nd 0.038 0.052 0.636
Ho 0.768 0.807 0.829
Nd 0.848 0.202 0.254
Ho 0.052 0.873 0.318

Summary:
Magnetization   0.0000 μB/atom
Space-group type   P1, No. 1
DFT formation energy   2.4 eV/f.u.
E   -66.07 eV/cell

---

(2)
ZrH: relaxed, GGA-PBE.

Lattice parameters (Å, degrees): 3.035 3.418 5.428 84.25 74.82 64.02
Atoms (fractional coordinates):
H 0.296 0.609 0.300
H 0.704 0.391 0.700
Zr 0.000 0.500 0.000
Zr 0.500 0.000 0.500

Summary:
Magnetization   0.0000 μB/atom
Space-group type   P-1, No. 2
E   -25.27 eV/cell

---

(3)
SiPBr2: relaxed, GGA-PBE.

Lattice parameters (Å, degrees): 4.224 4.744 4.745 86.18 90.00 90.00
Atoms (fractional coordinates):
Br 0.000 0.001 0.001
P 0.500 0.250 0.250
Br 0.000 0.499 0.499
Si 0.500 0.750 0.750

Summary:
Magnetization   0.0000 μB/atom
Space-group type   Cmmm, No. 65
E   -11.94 eV/cell
Raw formation energy   0.559 eV/atom

---

(4)
Sr3AlIn: relaxed, GGA-PBE.

Lattice parameters (Å, degrees): 6.191 6.191 6.191 90.00 90.00 90.00
Site moments in Bohr magnetons follow the coordinates.
Atoms (fractional coordinates):
In 0.500 0.500 0.500  0.16
Al 0.000 0.000 0.000  0.08
Sr 0.000 0.000 0.500  0.06
Sr 0.000 0.500 0.000  0.07
Sr 0.500 0.000 0.000  0.07

Summary:
Magnetization   0.3975 μB/atom
Space-group type   Pm-3m, No. 221
DFT formation energy   0.8 eV/f.u.
E   -10.72 eV/cell

---

(5)
NaGa4Au4: relaxed, GGA-PBE.

Lattice parameters (Å, degrees): 4.856 6.491 6.491 81.96 68.04 68.04
Atoms (fractional coordinates):
Ga 0.084 0.268 0.563
Ga 0.916 0.732 0.437
Au 0.605 0.124 0.665
Na 0.000 0.000 0.000
Ga 0.353 0.563 0.732
Au 0.270 0.335 0.124
Au 0.730 0.665 0.876
Au 0.395 0.876 0.335
Ga 0.647 0.437 0.268

Summary:
Magnetization   0.0000 μB/atom
Space-group type   I4/m, No. 87
DFT formation energy   -1.8 eV/f.u.
E   -28.30 eV/cell

---

(6)
KBaNb: relaxed, GGA-PBE.

Lattice parameters (Å, degrees): 15.243 6.584 6.584 121.46 140.22 39.78
Atoms (fractional coordinates):
Nb 0.027 0.724 0.276
Ba 0.810 0.661 0.339
K 0.391 0.852 0.148
Nb 0.244 0.341 0.659
Ba 0.007 0.086 0.914
K 0.504 0.353 0.647

Summary:
Magnetization   0.0000 μB/atom
Space-group type   Cm, No. 8
DFT formation energy   2.4 eV/f.u.
E   -21.38 eV/cell

---

> What is the magnetization in the fifth record?

0.0000 μB/atom

---

> Look up the magnetization of the second one.

0.0000 μB/atom

---

> Among the records above, which one has the highest E?

Sr3AlIn

---

> Among the records above, which one has the highest magnetization?

Sr3AlIn